DFT (GGA-PBE) results for a geometry-optimized MgNi2Pb structure.

Lattice parameters (Å, degrees): 3.1691 3.1698 6.9207 90.00 90.00 90.00
Closest atoms and distances in Å follow each position.
Sites, in units of the cell vectors:
Ni: 0.5000 0.5000 0.2004  4 Ni 2.53, 1 Mg 2.61, 4 Pb 2.81
Mg: 0.5000 0.5000 0.8232  5 Ni 2.61-2.67
Pb: 0.0000 0.0000 0.4443  5 Ni 2.81-2.85
Ni: 0.0000 0.0000 0.0322  4 Ni 2.53, 4 Mg 2.67

## Properties
M_tot	0.000	μB per atom
crystal system	tetragonal
symmetry	P4mm, No. 99
E_form	8	kJ per mole of atoms
DOS(E_F)	0.946	states/eV/atom